A plane-wave DFT calculation with PBE with a Hubbard U was carried out for a relaxed MnInTeF2 crystal.

Lattice parameters (Å, degrees): 4.2372 4.2372 6.0915 90.00 90.00 90.00
Space group P4/mmm (No. 123)
Symmetry-distinct sites (fractional):
Mn: 0.0000 0.0000 0.0000 [1 per cell]
In: 0.5000 0.5000 0.5000 [1 per cell]
Te: 0.0000 0.0000 0.5000 [1 per cell]
F: 0.0000 0.5000 0.0000 [2 per cell]

Output
DOS(E_F), states/eV per cell: 1.20
Final energy, eV/atom: -4.958
Magnetic moment, μB per formula unit: 4.98